Record 1
First-principles (PBE) data for KRb2HgAu2 after structural relaxation, as listed in Alexandria via LeMat-Bulk.

Summary:
**SG**: Pmc2_1
**Total moment**: 0.00 μB/f.u.

```
12
Lattice="4.809 0.000 0.000 0.000 9.212 0.000 0.000 0.000 10.100" Properties=species:S:1:pos:R:3 pbc="T T T"
Rb 2.405 5.028 9.265
Rb 0.000 3.603 2.214
Rb 2.405 0.422 0.835
Rb 0.000 8.209 7.887
Hg 2.405 6.412 2.904
Hg 2.405 1.806 7.196
K 0.000 8.707 4.264
K 0.000 4.101 5.837
Au 2.405 1.947 4.208
Au 0.000 2.359 8.950
Au 2.405 6.553 5.892
Au 0.000 6.965 1.150
```

=====

Record 2
First-principles (PBE) data for ZnIr3Pt after structural relaxation, as listed in Alexandria via LeMat-Bulk.

Summary:
**SG**: Pm-3m
**Total moment**: 2.89 μB/f.u.
**Excess energy over the best structure of this formula in the dataset**: 0.0000 eV/atom

```
5
Lattice="4.479 0.000 0.000 0.000 4.479 0.000 0.000 0.000 4.479" Properties=species:S:1:pos:R:3 pbc="T T T"
Pt 2.239 2.239 2.239
Zn 0.000 0.000 0.000
Ir 0.000 0.000 2.239
Ir 2.239 0.000 0.000
Ir 0.000 2.239 0.000
```

=====

Record 3
First-principles (PBE) data for AlPtSeN2 after structural relaxation, as listed in Alexandria via LeMat-Bulk.

Summary:
**SG**: P4/mmm
**Total moment**: 1.21 μB/f.u.
**Energy relative to the elements, uncorrected**: 0.864 eV/atom
**Excess energy over the best structure of this formula in the dataset**: 0.0000 eV/atom

```
5
Lattice="3.614 0.000 0.000 0.000 3.614 0.000 0.000 0.000 6.683" Properties=species:S:1:pos:R:3 pbc="T T T"
N 1.807 0.000 0.000
N 0.000 1.807 0.000
Pt 1.807 1.807 3.342
Al 0.000 0.000 0.000
Se 0.000 0.000 3.342
```

=====

no.,electronic total energy (eV/atom)
1,-1.903
2,-5.114
3,-5.120